First-principles (PBE) data for a relaxed structure of Ta4W5, as listed in Alexandria.

The structure belongs to space group I4/mmm (No. 139); the cell edges are 9.731, 9.731 and 3.221 Å and the angles 90.00°, 90.00° and 90.00°. The distinct sites, in fractional coordinates, are Ta at (0.000, 0.328, 0.000), W at (0.000, 0.000, 0.000) and W at (0.166, 0.166, 0.500).

The calculated volume is 16.94 Å³/atom. As for the total energy: -12.546 eV/atom. For the formation energy from the elements, the calculation gives -82 meV per atom. Its total moment is 0.0 μB/cell. The calculation puts the energy relative to the lowest polymorph listed for this composition at 0 meV per atom.